6
Lattice="-4.686 2.447 -0.038 -2.313 -4.400 1.897 2.298 4.490 5.756" Properties=species:S:1:pos:R:3 comment="RbTl5, optimized geometry, DFT PBE-GGA" crystal_system=orthorhombic space_group="No. 65" e_above_lowest_polymorph_mev_per_atom=14 volume_a3_per_cell=201.8 density_g_cm3=9.11 formation_enthalpy_0k_ev_per_atom=-0.02 dos_at_fermi_per_ev_cell=2.80 pbc="T T T"
Tl -3.500 -0.976 0.929
Rb 0.000 0.000 0.000
Tl -0.751 -1.387 3.329
Tl -2.766 0.495 5.237
Tl -1.935 2.042 2.378
Tl 0.736 1.476 4.323